LiNbCd, relaxed, DFT PBE; total magnetization = 0.00 μB/cell; formation energy = 0.49 eV per atom; energy above the most stable polymorph in this dataset = 1.365 eV per formula unit
1.0
4.951 0.000 0.000
-2.475 4.287 0.000
0.000 0.000 5.563
Li Nb Cd
2 2 2
Direct
0.000 0.000 0.000 Li
0.000 0.000 0.500 Li
0.333 0.667 0.221 Nb
0.333 0.667 0.779 Nb
0.667 0.333 0.251 Cd
0.667 0.333 0.749 Cd

RbSr2US6, relaxed, DFT PBE; total magnetization = 1.99 μB/cell; total energy = -5.457 eV/atom
1.0
7.255 0.000 0.000
0.000 7.968 0.000
-6.463 0.000 10.125
Rb Sr U S
2 4 2 12
Direct
0.000 0.000 0.000 Rb
0.000 0.500 0.500 Rb
0.192 0.078 0.723 Sr
0.192 0.422 0.223 Sr
0.808 0.578 0.777 Sr
0.808 0.922 0.277 Sr
0.500 0.000 0.500 U
0.500 0.500 0.000 U
0.164 0.165 0.449 S
0.164 0.335 0.949 S
0.249 0.742 0.388 S
0.249 0.758 0.888 S
0.451 0.101 0.286 S
0.451 0.399 0.786 S
0.549 0.601 0.214 S
0.549 0.899 0.714 S
0.751 0.242 0.112 S
0.751 0.258 0.612 S
0.836 0.665 0.051 S
0.836 0.835 0.551 S

IrC2, relaxed, DFT PBE; total magnetization = 0.00 μB/cell; formation energy = 2.49 eV per atom; energy above the most stable polymorph in this dataset = 5.711 eV per formula unit
1.0
4.040 0.000 0.000
-2.020 3.499 0.000
0.000 0.000 4.122
Ir C
2 4
Direct
0.333 0.667 0.250 Ir
0.667 0.333 0.750 Ir
0.000 0.000 0.000 C
0.000 0.000 0.500 C
0.333 0.667 0.750 C
0.667 0.333 0.250 C

DyTcAs2, relaxed, DFT PBE; total magnetization = 0.00 μB/cell; formation energy = -0.44 eV per atom; energy above the most stable polymorph in this dataset = 0.885 eV per formula unit
1.0
3.185 0.000 0.000
0.000 3.185 0.000
0.000 0.000 7.036
Dy Tc As
1 1 2
Direct
0.000 0.000 0.000 Dy
0.000 0.000 0.500 Tc
0.500 0.500 0.289 As
0.500 0.500 0.711 As